Computed, not measured: crystalline KSi2Os at its relaxed geometry at the GGA-PBE level of DFT.

Properties
E above lowest polymorph, meV per atom: 630

Unit cell a=2.9105 b=2.9105 c=9.2440 alpha=90.00 beta=90.00 gamma=112.74
Sites, in units of the cell vectors:
K: 0.0000 0.0000 0.0000
Si: 0.0000 0.0000 0.4890
Si: 0.5000 0.5000 0.6909
Os: 0.5000 0.5000 0.3031



Computed, not measured: crystalline KSiOs at its relaxed geometry at the GGA-PBE level of DFT.

Properties
E above lowest polymorph, meV per atom: 2428

Unit cell a=4.7723 b=4.7723 c=4.7723 alpha=60.00 beta=60.00 gamma=60.00
Sites, in units of the cell vectors:
K: 0.0000 0.0000 0.0000
Si: 0.2500 0.2500 0.2500
Os: 0.7500 0.7500 0.7500



Computed, not measured: crystalline K2SiOs at its relaxed geometry at the GGA-PBE level of DFT.

Unit cell a=11.6092 b=11.6092 c=11.6092 alpha=14.26 beta=14.26 gamma=14.26
Sites, in units of the cell vectors:
K: 0.2495 0.2495 0.2495
K: 0.7505 0.7505 0.7505
Si: 0.0000 0.0000 0.0000
Os: 0.5000 0.5000 0.5000



Computed, not measured: crystalline K2SiOs at its relaxed geometry at the GGA-PBE level of DFT.

Unit cell a=2.9152 b=3.9183 c=10.0643 alpha=90.00 beta=91.98 gamma=90.00
Sites, in units of the cell vectors:
K: 0.0000 0.0000 0.0000
K: 0.4222 0.5000 0.4082
Si: 0.4575 0.0000 0.7008
Os: 0.9583 0.5000 0.7123



Computed, not measured: crystalline KSi2Os at its relaxed geometry at the GGA-PBE level of DFT.

Properties
E above lowest polymorph, meV per atom: 728

Unit cell a=4.5222 b=4.5222 c=4.5222 alpha=60.00 beta=60.00 gamma=60.00
Sites, in units of the cell vectors:
K: 0.0000 0.0000 0.0000
Si: 0.2500 0.2500 0.2500
Si: 0.7500 0.7500 0.7500
Os: 0.5000 0.5000 0.5000



Computed, not measured: crystalline K2SiOs at its relaxed geometry at the GGA-PBE level of DFT.

Unit cell a=10.3305 b=10.3305 c=3.8982 alpha=100.41 beta=100.41 gamma=16.29
Sites, in units of the cell vectors:
K: 0.1487 0.1487 0.1518
K: 0.8513 0.8513 0.8482
Si: 0.5000 0.5000 0.0000
Os: 0.0000 0.0000 0.5000



Computed, not measured: crystalline KSiOs2 at its relaxed geometry at the GGA-PBE level of DFT.

Unit cell a=2.8081 b=4.1797 c=7.2443 alpha=90.00 beta=100.58 gamma=90.00
Sites, in units of the cell vectors:
K: 0.0000 0.0000 0.0000
Si: 0.3478 0.5000 0.6819
Os: 0.2564 0.0000 0.4915
Os: 0.7079 0.5000 0.3895



Computed, not measured: crystalline KSi2Os at its relaxed geometry at the GGA-PBE level of DFT.

Properties
E above lowest polymorph, meV per atom: 565

Unit cell a=5.5227 b=5.5227 c=5.5227 alpha=137.83 beta=109.34 gamma=85.85
Sites, in units of the cell vectors:
K: 0.0000 0.0000 0.0000
Si: 0.3463 0.8463 0.5000
Si: 0.6537 0.1537 0.5000
Os: 0.5000 0.5000 0.0000



Computed, not measured: crystalline K2SiOs at its relaxed geometry at the GGA-PBE level of DFT.

Unit cell a=6.4744 b=6.4744 c=2.5663 alpha=90.00 beta=90.00 gamma=90.00
Sites, in units of the cell vectors:
K: 0.0000 0.5000 0.0000
K: 0.5000 0.0000 0.0000
Si: 0.0000 0.0000 0.5000
Os: 0.5000 0.5000 0.5000



Computed, not measured: crystalline KSiOs at its relaxed geometry at the GGA-PBE level of DFT.

Properties
E above lowest polymorph, meV per atom: 866

Unit cell a=4.9983 b=4.9983 c=2.6019 alpha=90.00 beta=90.00 gamma=120.00
Sites, in units of the cell vectors:
K: 0.0000 0.0000 0.0000
Si: 0.3333 0.6667 0.5000
Os: 0.6667 0.3333 0.5000



Computed, not measured: crystalline KSi2Os at its relaxed geometry at the GGA-PBE level of DFT.

Properties
E above lowest polymorph, meV per atom: 6

Unit cell a=4.2529 b=4.2529 c=6.9392 alpha=97.45 beta=97.45 gamma=42.74
Sites, in units of the cell vectors:
K: 0.0000 0.0000 0.0000
Si: 0.2277 0.2277 0.6374
Si: 0.7723 0.7723 0.3626
Os: 0.5000 0.5000 0.5000



Computed, not measured: crystalline KSi2Os at its relaxed geometry at the GGA-PBE level of DFT.

Properties
E above lowest polymorph, meV per atom: 0

Unit cell a=3.0095 b=3.0095 c=8.1920 alpha=90.00 beta=90.00 gamma=90.00
Sites, in units of the cell vectors:
K: 0.0000 0.0000 0.0000
Si: 0.5000 0.5000 0.3237
Si: 0.5000 0.5000 0.6763
Os: 0.0000 0.0000 0.5000



| no. | final energy (eV/atom) | DOS(E_F) (states/eV/atom) |
| --- | --- | --- |
| 1 | -5.15 | 0.503 |
| 2 | -3.30 | 2.447 |
| 3 | -3.63 | 0.503 |
| 4 | -4.42 | 0.515 |
| 5 | -5.05 | 0.515 |
| 6 | -4.41 | 0.589 |
| 7 | -6.78 | 0.718 |
| 8 | -5.22 | 0.416 |
| 9 | -3.44 | 0.729 |
| 10 | -4.86 | 0.820 |
| 11 | -5.78 | 0.556 |
| 12 | -5.78 | 0.234 |